Computed, not measured: crystalline YFe3 at its relaxed geometry at the PBEsol level of DFT.

Computed properties:
Symmetry: R-3m, No. 166
Formation energy from the elements (eV per atom): -0.05
Total energy (eV per formula unit): -33.92

Lattice parameters (Å, degrees): 4.971 4.971 8.437 72.87 72.87 60.00
Last column: magnetic moment on the atom in μB.
Atoms (fractional coordinates):
Fe 0.581 0.081 0.757  1.72
Fe 0.081 0.581 0.757  1.72
Fe 0.581 0.581 0.757  1.72
Fe 0.419 0.919 0.243  1.72
Fe 0.419 0.419 0.243  1.72
Fe 0.919 0.419 0.243  1.72
Fe 0.333 0.333 0.002  1.98
Fe 0.667 0.667 0.998  1.98
Fe 0.500 0.500 0.500  1.73
Y 0.142 0.142 0.574  -0.41
Y 0.858 0.858 0.426  -0.41
Y 0.000 0.000 0.000  -0.30


Computed, not measured: crystalline YFe3 at its relaxed geometry at the PBEsol level of DFT.

Computed properties:
Symmetry: Immm, No. 71
Formation energy from the elements (eV per atom): 0.33
Total energy (eV per formula unit): -32.39

Lattice parameters (Å, degrees): 3.123 4.324 5.084 115.17 107.89 90.00
Last column: magnetic moment on the atom in μB.
Atoms (fractional coordinates):
Fe 0.773 0.773 0.545  2.54
Fe 0.227 0.227 0.455  2.54
Fe 0.500 0.000 0.000  1.97
Y 0.000 0.500 0.000  -0.34


Computed, not measured: crystalline YFe4 at its relaxed geometry at the PBEsol level of DFT.

Computed properties:
Symmetry: Im-3m, No. 229
Formation energy from the elements (eV per atom): 1.74
Total energy (eV per formula unit): -33.98

Lattice parameters (Å, degrees): 4.850 4.850 4.850 109.47 109.47 109.47
Last column: magnetic moment on the atom in μB.
Atoms (fractional coordinates):
Fe 0.000 0.000 0.500  2.45
Fe 0.000 0.500 0.000  2.45
Fe 0.500 0.000 0.000  2.45
Fe 0.500 0.500 0.500  2.45
Y 0.000 0.000 0.000  -0.36


Computed, not measured: crystalline YFe5 at its relaxed geometry at the PBEsol level of DFT.

Computed properties:
Symmetry: F-43m, No. 216
Formation energy from the elements (eV per atom): 0.07
Total energy (eV per formula unit): -51.22

Lattice parameters (Å, degrees): 4.837 4.837 4.837 60.00 60.00 60.00
Last column: magnetic moment on the atom in μB.
Atoms (fractional coordinates):
Fe 0.624 0.624 0.128  1.99
Fe 0.250 0.250 0.250  2.87
Fe 0.624 0.128 0.624  1.99
Fe 0.624 0.624 0.624  1.99
Fe 0.128 0.624 0.624  1.99
Y 0.000 0.000 0.000  -0.29


Repeat the fourth record exactly.
Computed, not measured: crystalline YFe5 at its relaxed geometry at the PBEsol level of DFT.

Computed properties:
Symmetry: F-43m, No. 216
Formation energy from the elements (eV per atom): 0.07
Total energy (eV per formula unit): -51.22

Lattice parameters (Å, degrees): 4.837 4.837 4.837 60.00 60.00 60.00
Last column: magnetic moment on the atom in μB.
Atoms (fractional coordinates):
Fe 0.624 0.624 0.128  1.99
Fe 0.250 0.250 0.250  2.87
Fe 0.624 0.128 0.624  1.99
Fe 0.624 0.624 0.624  1.99
Fe 0.128 0.624 0.624  1.99
Y 0.000 0.000 0.000  -0.29


Question: Which of these has the highest formation energy from the elements?
Answer: YFe4


Question: What is the formation energy from the elements in the third record?
Answer: 1.74 eV per atom